1.
Y5Si10Ir4 | PBE-GGA | relaxed

Structure (POSCAR):
```
Y5Si10Ir4
1.0
12.656 0.000 0.000
0.000 12.656 0.000
0.000 0.000 4.274
Y Si Ir
10 20 8
direct
0.000 0.000 0.000 Y
0.114 0.386 0.500 Y
0.176 0.676 0.500 Y
0.324 0.176 0.500 Y
0.386 0.886 0.500 Y
0.500 0.500 0.000 Y
0.614 0.114 0.500 Y
0.676 0.824 0.500 Y
0.824 0.324 0.500 Y
0.886 0.614 0.500 Y
0.001 0.843 0.500 Si
0.066 0.566 0.000 Si
0.157 0.001 0.500 Si
0.164 0.201 0.000 Si
0.201 0.836 0.000 Si
0.299 0.336 0.000 Si
0.336 0.701 0.000 Si
0.343 0.501 0.500 Si
0.434 0.066 0.000 Si
0.499 0.343 0.500 Si
0.501 0.657 0.500 Si
0.566 0.934 0.000 Si
0.657 0.499 0.500 Si
0.664 0.299 0.000 Si
0.701 0.664 0.000 Si
0.799 0.164 0.000 Si
0.836 0.799 0.000 Si
0.843 0.999 0.500 Si
0.934 0.434 0.000 Si
0.999 0.157 0.500 Si
0.020 0.755 0.000 Ir
0.245 0.020 0.000 Ir
0.255 0.520 0.000 Ir
0.480 0.255 0.000 Ir
0.520 0.745 0.000 Ir
0.745 0.480 0.000 Ir
0.755 0.980 0.000 Ir
0.980 0.245 0.000 Ir
```

Output
**Total magnetic moment**: 0.000 μB per formula unit
**E**: -7.315 eV/atom
**D(E_F)**: 17.37 states/eV per cell
**Volume**: 684.6 Å³ per cell


2.
La2Th2CoPt2 | PBE-GGA | relaxed

Structure (POSCAR):
```
La2Th2CoPt2
1.0
4.141 0.000 0.000
-0.002 7.330 0.000
-2.063 -3.272 6.304
La Th Co Pt
2 2 1 2
direct
0.022 0.258 0.046 La
0.978 0.742 0.954 La
0.292 0.251 0.583 Th
0.708 0.749 0.417 Th
0.500 0.500 0.000 Co
0.364 0.929 0.728 Pt
0.636 0.071 0.272 Pt
```

Output
**DFT formation energy**: -0.658 eV/atom
**Total magnetic moment**: 0.000 μB per formula unit
**E**: -6.927 eV/atom
**D(E_F)**: 5.59 states/eV per cell
**Volume**: 191.4 Å³ per cell


3.
GaBiRh2 | PBE-GGA | relaxed

Structure (POSCAR):
```
GaBiRh2
1.0
-2.131 2.131 8.572
2.131 -2.131 8.572
2.131 2.131 -8.572
Ga Bi Rh
2 2 4
direct
0.000 0.000 0.000 Ga
0.750 0.250 0.500 Ga
0.250 0.750 0.500 Bi
0.500 0.500 0.000 Bi
0.092 0.625 0.967 Rh
0.375 0.342 0.467 Rh
0.658 0.125 0.033 Rh
0.875 0.908 0.533 Rh
```

Output
**DFT formation energy**: 0.067 eV/atom
**Total magnetic moment**: 0.000 μB per formula unit
**E**: -5.336 eV/atom
**D(E_F)**: 6.80 states/eV per cell
**Volume**: 155.7 Å³ per cell


4.
SiMo2Au | PBE-GGA | relaxed

Structure (POSCAR):
```
SiMo2Au
1.0
3.813 0.000 0.000
0.000 3.813 0.000
0.000 0.000 4.281
Si Mo Au
1 2 1
direct
0.000 0.000 0.000 Si
0.000 0.500 0.500 Mo
0.500 0.000 0.500 Mo
0.500 0.500 0.000 Au
```

Output
**Total magnetic moment**: 0.000 μB per formula unit
**E**: -7.393 eV/atom
**D(E_F)**: 4.14 states/eV per cell
**Volume**: 62.3 Å³ per cell


5.
KTiCo2Bi | PBE-GGA | relaxed

Structure (POSCAR):
```
KTiCo2Bi
1.0
4.727 0.000 0.000
0.000 4.727 0.000
0.000 0.000 5.411
K Ti Co Bi
1 1 2 1
direct
0.000 0.000 0.000 K
0.500 0.500 0.500 Ti
0.000 0.500 0.500 Co
0.500 0.000 0.500 Co
0.500 0.500 0.000 Bi
```

Output
**DFT formation energy**: 0.822 eV/atom
**Total magnetic moment**: 2.668 μB per formula unit
**E**: -4.595 eV/atom
**D(E_F)**: 4.92 states/eV per cell
**Volume**: 120.9 Å³ per cell


6.
Ac5Pm2Si5 | PBE-GGA | relaxed

Structure (POSCAR):
```
Ac5Pm2Si5
1.0
7.399 -2.223 0.000
7.399 2.223 0.000
-3.853 0.000 12.265
Ac Pm Si
5 2 5
direct
0.000 0.000 0.000 Ac
0.158 0.158 0.549 Ac
0.242 0.242 0.854 Ac
0.758 0.758 0.146 Ac
0.842 0.842 0.451 Ac
0.457 0.457 0.711 Pm
0.543 0.543 0.289 Pm
0.182 0.182 0.300 Si
0.387 0.387 0.086 Si
0.500 0.500 0.500 Si
0.613 0.613 0.914 Si
0.818 0.818 0.700 Si
```

Output
**Total magnetic moment**: 0.000 μB per formula unit
**E**: -5.212 eV/atom
**D(E_F)**: 6.45 states/eV per cell
**Volume**: 403.5 Å³ per cell


7.
DyY3Ni | PBE-GGA | relaxed

Structure (POSCAR):
```
DyY3Ni
1.0
5.328 0.000 0.000
0.000 5.328 0.000
0.000 0.000 5.328
Dy Y Ni
1 3 1
direct
0.000 0.000 0.000 Dy
0.000 0.500 0.500 Y
0.500 0.000 0.500 Y
0.500 0.500 0.000 Y
0.500 0.500 0.500 Ni
```

Output
**DFT formation energy**: -0.034 eV/atom
**Total magnetic moment**: 0.000 μB per formula unit
**E**: -5.989 eV/atom
**D(E_F)**: 9.24 states/eV per cell
**Excess energy over the best structure of this formula in the dataset**: 0.134 eV/atom
**Volume**: 151.3 Å³ per cell


8.
Th2Co3Ni | PBE-GGA | relaxed

Structure (POSCAR):
```
Th2Co3Ni
1.0
0.000 3.974 6.918
3.951 0.000 6.918
3.951 3.974 0.000
Th Co Ni
4 6 2
direct
0.249 0.751 0.751 Th
0.250 0.250 0.250 Th
0.750 0.750 0.750 Th
0.751 0.249 0.249 Th
0.170 0.665 0.335 Co
0.335 0.335 0.665 Co
0.335 0.830 0.170 Co
0.665 0.170 0.830 Co
0.665 0.665 0.335 Co
0.830 0.335 0.665 Co
0.167 0.167 0.833 Ni
0.833 0.833 0.167 Ni
```

Output
**DFT formation energy**: -0.282 eV/atom
**Total magnetic moment**: 0.000 μB per formula unit
**E**: -7.272 eV/atom
**D(E_F)**: 11.33 states/eV per cell
**Volume**: 217.3 Å³ per cell


9.
Nd4Ag2Ge | PBE-GGA | relaxed

Structure (POSCAR):
```
Nd4Ag2Ge
1.0
2.624 1.515 8.446
-2.624 1.515 8.446
0.000 -3.030 8.446
Nd Ag Ge
4 2 1
direct
0.124 0.124 0.124 Nd
0.376 0.376 0.376 Nd
0.624 0.624 0.624 Nd
0.876 0.876 0.876 Nd
0.251 0.251 0.251 Ag
0.749 0.749 0.749 Ag
0.500 0.500 0.500 Ge
```

Output
**DFT formation energy**: -0.256 eV/atom
**Total magnetic moment**: 1.561 μB per formula unit
**E**: -4.454 eV/atom
**D(E_F)**: 8.92 states/eV per cell
**Volume**: 201.4 Å³ per cell


10.
HfMnNb2W | PBE-GGA | relaxed

Structure (POSCAR):
```
HfMnNb2W
1.0
4.910 0.000 0.000
0.000 4.910 0.000
0.000 0.000 4.291
Hf Mn Nb W
1 1 2 1
direct
0.000 0.000 0.000 Hf
0.000 0.000 0.500 Mn
0.000 0.500 0.000 Nb
0.500 0.000 0.000 Nb
0.500 0.500 0.500 W
```

Output
**DFT formation energy**: 1.949 eV/atom
**Total magnetic moment**: 1.763 μB per formula unit
**E**: -8.494 eV/atom
**D(E_F)**: 6.34 states/eV per cell
**Volume**: 103.5 Å³ per cell


11.
Pr2DyTm2 | PBE-GGA | relaxed

Structure (POSCAR):
```
Pr2DyTm2
1.0
1.794 1.036 14.613
-1.794 1.036 14.613
0.000 -2.072 14.613
Pr Dy Tm
2 1 2
direct
0.202 0.202 0.202 Pr
0.798 0.798 0.798 Pr
0.000 0.000 0.000 Dy
0.398 0.398 0.398 Tm
0.602 0.602 0.602 Tm
```

Output
**DFT formation energy**: 0.028 eV/atom
**Total magnetic moment**: 0.000 μB per formula unit
**E**: -4.593 eV/atom
**D(E_F)**: 5.84 states/eV per cell
**Excess energy over the best structure of this formula in the dataset**: 0.000 eV/atom
**Volume**: 163.0 Å³ per cell


12.
RbAgSnSe2 | PBE-GGA | relaxed

Structure (POSCAR):
```
RbAgSnSe2
1.0
3.637 -7.795 0.000
3.637 7.795 0.000
0.000 0.000 6.011
Rb Ag Sn Se
2 2 2 4
direct
0.250 0.750 0.767 Rb
0.750 0.250 0.233 Rb
0.000 0.000 0.000 Ag
0.500 0.500 0.000 Ag
0.250 0.250 0.500 Sn
0.750 0.750 0.500 Sn
0.123 0.877 0.267 Se
0.377 0.623 0.267 Se
0.623 0.377 0.733 Se
0.877 0.123 0.733 Se
```

Output
**Total magnetic moment**: 0.000 μB per formula unit
**E**: -3.455 eV/atom
**D(E_F)**: 0.70 states/eV per cell
**Volume**: 340.9 Å³ per cell